This record from Alexandria via LeMat-Bulk describes a relaxed RbCdBi2 crystal. The functional is PBE.

POSCAR file:
```
RbCdBi2
1.0
6.220 0.000 0.000
0.000 5.343 0.000
-0.348 0.000 9.037
Rb Cd Bi
2 2 4
Direct
0.013 0.250 0.172 Rb
0.987 0.750 0.828 Rb
0.255 0.250 0.607 Cd
0.745 0.750 0.393 Cd
0.241 0.750 0.438 Bi
0.472 0.750 0.106 Bi
0.528 0.250 0.894 Bi
0.759 0.250 0.562 Bi
```

Summary:
- Calculated total energy: -2.582 eV per atom
- Calculated density: 6.8 g/cm3
- Formation energy: -171 meV per atom